No. 1
# Li2Ho2AlPd5, relaxed, DFT PBE
# E_form: -0.736 eV per atom
# M_tot: 0.00 μB/cell
# total DFT energy (no corrections): -5.00 eV per atom
data_Li2Ho2AlPd5
_chemical_formula_sum 'Li4 Ho4 Al2 Pd10'
_cell_length_a 9.6566
_cell_length_b 9.6566
_cell_length_c 3.5161
_cell_angle_alpha 90.00
_cell_angle_beta 90.00
_cell_angle_gamma 90.00
_space_group_name_H-M_alt 'P 4/m b m'
_space_group_IT_number 127
_space_group_name_Hall '-P 4 2ab'
loop_
_atom_site_label
_atom_site_fract_x
_atom_site_fract_y
_atom_site_fract_z
_atom_site_occupancy
Li1 0.1234 0.3766 0.0000 1
Ho1 0.1761 0.6761 0.0000 1
Al1 0.0000 0.0000 0.0000 1
Pd1 0.0000 0.5000 0.5000 1
Pd2 0.0644 0.2014 0.5000 1

---

No. 2
# NiPRh2, relaxed, DFT PBE
# E_form: -0.095 eV per atom
# M_tot: 0.64 μB/cell
# total DFT energy (no corrections): -6.57 eV per atom
data_NiPRh2
_chemical_formula_sum 'Ni1 P1 Rh2'
_cell_length_a 2.8242
_cell_length_b 3.7810
_cell_length_c 5.0044
_cell_angle_alpha 90.00
_cell_angle_beta 90.00
_cell_angle_gamma 90.00
_space_group_name_H-M_alt 'P m m 2'
_space_group_IT_number 25
loop_
_space_group_symop_operation_xyz
'x,y,z'
'-x,-y,z'
'-x,y,z'
'x,-y,z'
loop_
_atom_site_label
_atom_site_fract_x
_atom_site_fract_y
_atom_site_fract_z
_atom_site_occupancy
Ni1 0.0000 0.0000 0.0000 1
P1 0.5000 0.5000 0.3347 1
Rh1 0.0000 0.0000 0.4938 1
Rh2 0.5000 0.5000 0.8634 1